Compound: HgTe2W
Source: Alexandria via LeMat-Bulk
Functional: PBE
Structure: relaxed

Summary:
* raw formation energy: 82 meV/atom
* magnetization: 0.00 μB per formula unit
* final energy: -4.803 eV per atom

Structure (POSCAR):
```
HgTe2W
1.0
-2.7459 -2.1265 0.4983
-0.8559 -2.3622 -2.4490
5.1423 -8.5342 3.9803
Hg Te W
1 2 1
direct
0.2500 0.2500 0.2500
0.0259 0.0259 0.9268
0.4741 0.4741 0.5732
0.7500 0.7500 0.7500
```